(1)
Entry from Alexandria via LeMat-Bulk: a relaxed Pa2NiB2Ir5 crystal (GGA-PBE).

Computed properties:
**Space-group type**: P4/mbm
**E_form**: -13.63 kcal/mol of atoms

Cell: 3.5009 9.1834 9.1834 Å, 90.00 90.00 90.00°
Closest atoms and distances in Å follow each position.
Sites, in units of the cell vectors:
Pa 0.0000 0.1793 0.3207  3 B 2.59-2.81
Pa 0.0000 0.6793 0.1793  3 B 2.59-2.81
Pa 0.0000 0.3207 0.8207  3 B 2.59-2.81
Pa 0.0000 0.8207 0.6793  3 B 2.59-2.81
B 0.0000 0.3788 0.1212  6 Ir 2.35-2.36, 1 Pa 2.59
B 0.0000 0.1212 0.6212  6 Ir 2.35-2.36, 1 Pa 2.59
B 0.0000 0.8788 0.3788  6 Ir 2.35-2.36, 1 Pa 2.59
B 0.0000 0.6212 0.8788  6 Ir 2.35-2.36, 1 Pa 2.59
Ir 0.5000 0.0000 0.5000  4 B 2.35
Ir 0.5000 0.7133 0.4295  2 B 2.36
Ir 0.5000 0.5000 0.0000  4 B 2.35
Ir 0.5000 0.2133 0.0705  2 B 2.36
Ir 0.5000 0.5705 0.7133  2 B 2.36
Ir 0.5000 0.4295 0.2867  2 B 2.36
Ir 0.5000 0.9295 0.2133  2 B 2.36
Ir 0.5000 0.7867 0.9295  2 B 2.36
Ir 0.5000 0.0705 0.7867  2 B 2.36
Ir 0.5000 0.2867 0.5705  2 B 2.36
Ni 0.0000 0.5000 0.5000  8 Ir 2.71
Ni 0.0000 0.0000 0.0000  8 Ir 2.71

---

(2)
Entry from Alexandria via LeMat-Bulk: a relaxed BaMoAs4 crystal (GGA-PBE).

Computed properties:
**Space-group type**: F-43m
**E_form**: 8.84 kcal/mol of atoms

Cell: 5.8268 5.8268 5.8268 Å, 60.00 60.00 60.00°
Closest atoms and distances in Å follow each position.
Sites, in units of the cell vectors:
Mo 0.0000 0.0000 0.0000  12 As 3.41, 4 Ba 3.57
As 0.3710 0.8871 0.3710  6 As 2.82-3.01
As 0.3710 0.3710 0.8871  6 As 2.82-3.01
As 0.3710 0.3710 0.3710  6 As 2.82-3.01
As 0.8871 0.3710 0.3710  6 As 2.82-3.01
Ba 0.7500 0.7500 0.7500  12 As 3.43, 4 Mo 3.57

---

(3)
Entry from Alexandria via LeMat-Bulk: a relaxed La2TlTe crystal (GGA-PBE).

Computed properties:
**Uncorrected formation energy**: -0.801 eV per atom
**E above lowest polymorph**: 204 meV/atom
**Space-group type**: Immm

Cell: 5.7831 5.7831 5.7831 Å, 128.29 121.25 82.05°
Closest atoms and distances in Å follow each position.
Sites, in units of the cell vectors:
La 0.0041 0.0041 0.0000  4 Te 3.31-3.60, 4 Tl 3.36-3.56
La 0.4959 0.4959 0.0000  4 Te 3.31-3.60, 4 Tl 3.36-3.56
Tl 0.7500 0.2500 0.5000  8 La 3.36-3.56
Te 0.2500 0.7500 0.5000  8 La 3.31-3.60

---

(4)
Entry from Alexandria via LeMat-Bulk: a relaxed Mn2MoSe crystal (GGA-PBE).

Computed properties:
**Uncorrected formation energy**: 0.674 eV per atom
**Space-group type**: I-42d

Cell: 6.6086 6.6086 5.3533 Å, 51.89 51.89 90.00°
Closest atoms and distances in Å follow each position.
Sites, in units of the cell vectors:
Mn 0.1446 0.6250 0.2500  2 Se 2.34, 2 Mo 2.52
Mn 0.8750 0.8554 0.7500  2 Se 2.34, 2 Mo 2.52
Mn 0.6054 0.1250 0.2500  2 Se 2.34, 2 Mo 2.52
Mn 0.3750 0.3946 0.7500  2 Se 2.34, 2 Mo 2.52
Mo 0.0000 0.0000 0.0000  4 Mn 2.52, 2 Se 2.61
Mo 0.7500 0.2500 0.5000  4 Mn 2.52, 2 Se 2.61
Se 0.5000 0.5000 0.0000  4 Mn 2.34, 2 Mo 2.61
Se 0.2500 0.7500 0.5000  4 Mn 2.34, 2 Mo 2.61

---

(5)
Entry from Alexandria via LeMat-Bulk: a relaxed MnRh2Pb crystal (GGA-PBE).

Computed properties:
**Space-group type**: P4/mmm
**E_form**: -0.54 kcal/mol of atoms

Cell: 3.2571 3.2571 6.2608 Å, 90.00 90.00 90.01°
Closest atoms and distances in Å follow each position.
Sites, in units of the cell vectors:
Pb 0.5000 0.5000 0.7500  8 Rh 2.85, 2 Mn 3.13
Rh 0.0000 0.0000 0.4810  4 Mn 2.72, 4 Pb 2.85, 1 Rh 2.89
Rh 0.0000 0.0000 0.0190  4 Mn 2.72, 4 Pb 2.85, 1 Rh 2.89
Mn 0.5000 0.5000 0.2500  8 Rh 2.72

---

(6)
Entry from Alexandria via LeMat-Bulk: a relaxed K2BaThTe4 crystal (GGA-PBE).

Computed properties:
**Uncorrected formation energy**: -1.365 eV per atom
**Space-group type**: P2/m

Cell: 4.7828 8.4645 8.6584 Å, 108.31 90.00 90.00°
Closest atoms and distances in Å follow each position.
Sites, in units of the cell vectors:
K 0.0000 0.5000 0.5000  6 Te 3.73-3.82
K 0.5000 0.0000 0.5000  6 Te 3.50-3.51
Te 0.5000 0.2142 0.2137  2 Th 3.21, 1 Ba 3.48, 1 K 3.50
Te 0.0000 0.2282 0.7781  1 Th 3.12, 2 Ba 3.45
Te 0.5000 0.7858 0.7863  2 Th 3.21, 1 Ba 3.48, 1 K 3.50
Te 0.0000 0.7718 0.2219  1 Th 3.12, 2 Ba 3.45
Th 0.0000 0.0000 0.0000  6 Te 3.12-3.21
Ba 0.5000 0.5000 0.0000  6 Te 3.45-3.48

---

(7)
Entry from Alexandria via LeMat-Bulk: a relaxed CsAc2GeO5 crystal (GGA-PBE).

Computed properties:
**Uncorrected formation energy**: -2.290 eV per atom
**Space-group type**: P4/mbm

Cell: 6.0867 7.3080 7.3080 Å, 90.00 90.00 90.00°
Closest atoms and distances in Å follow each position.
Sites, in units of the cell vectors:
O 0.2435 0.8726 0.3726  1 Ge 1.98
O 0.5000 0.0000 0.0000  4 Ac 2.68
O 0.7565 0.3726 0.1274  1 Ge 1.98
O 0.5000 0.5000 0.5000  4 Ac 2.68
O 0.7565 0.6274 0.8726  1 Ge 1.98
O 0.7565 0.8726 0.3726  1 Ge 1.98
O 0.2435 0.1274 0.6274  1 Ge 1.98
O 0.2435 0.6274 0.8726  1 Ge 1.98
O 0.2435 0.3726 0.1274  1 Ge 1.98
O 0.7565 0.1274 0.6274  1 Ge 1.98
Ge 0.0000 0.5000 0.0000  4 O 1.98
Ge 0.0000 0.0000 0.5000  4 O 1.98
Ac 0.5000 0.6820 0.1820  8 O 2.51-2.78
Ac 0.5000 0.3180 0.8180  8 O 2.51-2.78
Ac 0.5000 0.1820 0.3180  8 O 2.51-2.78
Ac 0.5000 0.8180 0.6820  8 O 2.51-2.78
Cs 0.0000 0.5000 0.5000  10 O 3.04-3.24
Cs 0.0000 0.0000 0.0000  10 O 3.04-3.24

---

(8)
Entry from Alexandria via LeMat-Bulk: a relaxed CeNpPaN3 crystal (GGA-PBE).

Computed properties:
**Uncorrected formation energy**: -1.164 eV per atom
**Space-group type**: P2_1/m

Cell: 3.4175 7.0308 8.3254 Å, 90.11 90.00 90.00°
Closest atoms and distances in Å follow each position.
Sites, in units of the cell vectors:
Ce 0.7500 0.8764 0.8358  7 N 2.46-2.66
Ce 0.2500 0.1236 0.1642  7 N 2.46-2.66
Pa 0.7500 0.3751 0.8426  5 N 2.19-2.39
Pa 0.2500 0.6249 0.1574  5 N 2.19-2.39
N 0.7500 0.1186 0.4096  3 Np 2.25
N 0.7500 0.3960 0.1047  3 Pa 2.19-2.39
N 0.2500 0.6040 0.8953  3 Pa 2.19-2.39
N 0.2500 0.8814 0.5904  3 Np 2.25
N 0.7500 0.8585 0.1304  2 Pa 2.38, 3 Ce 2.46-2.54, 1 Np 2.51
N 0.2500 0.1415 0.8696  2 Pa 2.38, 3 Ce 2.46-2.54, 1 Np 2.51
Np 0.2500 0.2002 0.5725  4 N 2.25-2.51
Np 0.7500 0.7998 0.4275  4 N 2.25-2.51

---

(9)
Entry from Alexandria via LeMat-Bulk: a relaxed LaBi2Rh crystal (GGA-PBE).

Computed properties:
**Space-group type**: Fm-3m
**E_form**: -5.72 kcal/mol of atoms

Cell: 5.2770 5.2770 5.2770 Å, 60.00 60.00 60.00°
Closest atoms and distances in Å follow each position.
Sites, in units of the cell vectors:
Bi 0.2500 0.2500 0.2500  4 La 3.23, 4 Rh 3.23
Bi 0.7500 0.7500 0.7500  4 La 3.23, 4 Rh 3.23
Rh 0.0000 0.0000 0.0000  8 Bi 3.23
La 0.5000 0.5000 0.5000  8 Bi 3.23

---

(10)
Entry from Alexandria via LeMat-Bulk: a relaxed LiZr2Cu crystal (GGA-PBE).

Computed properties:
**E above lowest polymorph**: 87 meV/atom
**Space-group type**: Fm-3m
**E_form**: 2.32 kcal/mol of atoms

Cell: 4.6706 4.6706 4.6706 Å, 60.00 60.00 60.00°
Closest atoms and distances in Å follow each position.
Sites, in units of the cell vectors:
Zr 0.7500 0.7500 0.7500  4 Cu 2.86, 4 Li 2.86
Zr 0.2500 0.2500 0.2500  4 Cu 2.86, 4 Li 2.86
Li 0.0000 0.0000 0.0000  8 Zr 2.86
Cu 0.5000 0.5000 0.5000  8 Zr 2.86

---

(11)
Entry from Alexandria via LeMat-Bulk: a relaxed Cs3Er5P6S24 crystal (GGA-PBE).

Computed properties:
**Uncorrected formation energy**: -1.075 eV per atom
**Space-group type**: Cc

Cell: 10.4829 10.4829 20.9954 Å, 79.35 79.35 78.10°
Closest atoms and distances in Å follow each position.
Sites, in units of the cell vectors:
Cs 0.5095 0.0047 0.4707  6 S 3.63-4.01
Cs 0.0047 0.5095 0.9707  6 S 3.63-4.01
Cs 0.1880 0.4371 0.2866  8 S 3.59-3.84
Cs 0.5695 0.8043 0.2104  8 S 3.61-3.83
Cs 0.8043 0.5695 0.7104  8 S 3.61-3.83
Cs 0.4371 0.1880 0.7866  8 S 3.59-3.84
S 0.4563 0.4768 0.1495  1 P 2.02
S 0.2104 0.7572 0.6711  1 P 2.01
S 0.7369 0.9263 0.3157  1 P 2.04
S 0.6779 0.1589 0.6341  1 P 2.02
S 0.7016 0.8373 0.9435  1 P 2.08
S 0.9263 0.7369 0.8157  1 P 2.04
S 0.0737 0.2617 0.1831  1 P 2.03
S 0.2998 0.1590 0.0571  1 P 2.08
S 0.6630 0.4690 0.9906  1 P 2.08
S 0.5386 0.5228 0.8502  1 P 2.02
S 0.7878 0.0461 0.8109  1 P 2.06
S 0.8307 0.5928 0.3075  1 P 2.03
S 0.8383 0.3250 0.8655  1 P 2.03
S 0.4348 0.7744 0.0603  1 P 2.07
S 0.2429 0.7907 0.8309  1 P 2.01
S 0.3327 0.5320 0.0089  1 P 2.08
S 0.0517 0.6834 0.5628  1 P 2.06
S 0.0889 0.0723 0.3512  1 P 2.05
S 0.8373 0.7016 0.4435  1 P 2.08
S 0.8487 0.0318 0.4744  1 P 2.07
S 0.5928 0.8307 0.8075  1 P 2.03
S 0.1557 0.9677 0.5262  1 P 2.07
S 0.7572 0.2104 0.1711  1 P 2.01
S 0.2142 0.9521 0.1903  1 P 2.06
S 0.1589 0.6779 0.1341  1 P 2.02
S 0.2244 0.5642 0.4392  1 P 2.07
S 0.5228 0.5386 0.3502  1 P 2.02
S 0.7907 0.2429 0.3309  1 P 2.01
S 0.4690 0.6630 0.4906  1 P 2.08
S 0.9522 0.3168 0.4376  1 P 2.05
S 0.3168 0.9522 0.9376  1 P 2.05
S 0.1693 0.4077 0.6928  1 P 2.03
S 0.3250 0.8383 0.3655  1 P 2.03
S 0.4768 0.4563 0.6495  1 P 2.02
S 0.1590 0.2998 0.5571  1 P 2.08
S 0.2617 0.0737 0.6831  1 P 2.03
S 0.9677 0.1557 0.0262  1 P 2.07
S 0.5642 0.2244 0.9392  1 P 2.07
S 0.9284 0.9146 0.1488  1 P 2.05
S 0.6834 0.0517 0.0628  1 P 2.06
S 0.9521 0.2142 0.6903  1 P 2.06
S 0.7744 0.4348 0.5603  1 P 2.07
S 0.0318 0.8487 0.9744  1 P 2.07
S 0.4077 0.1693 0.1928  1 P 2.03
S 0.0461 0.7878 0.3109  1 P 2.06
S 0.0723 0.0889 0.8512  1 P 2.05
S 0.5320 0.3327 0.5089  1 P 2.08
S 0.9146 0.9284 0.6488  1 P 2.05
Er 0.8302 0.0742 0.9355  8 S 2.77-3.03
Er 0.1701 0.9283 0.0653  8 S 2.77-2.97
Er 0.4997 0.7089 0.9321  7 S 2.75-2.94
Er 0.4967 0.2918 0.0674  7 S 2.75-2.94
Er 0.0742 0.8302 0.4355  8 S 2.77-3.03
Er 0.2918 0.4967 0.5674  7 S 2.75-2.94
Er 0.9508 0.0507 0.2500  8 S 2.81-2.93
Er 0.0507 0.9508 0.7500  8 S 2.81-2.93
Er 0.7089 0.4997 0.4321  7 S 2.75-2.94
Er 0.9283 0.1701 0.5653  8 S 2.77-2.97
P 0.1677 0.9145 0.8966  4 S 2.01-2.07
P 0.7523 0.8568 0.8423  4 S 2.03-2.08
P 0.8323 0.0897 0.1042  4 S 2.01-2.07
P 0.3892 0.6519 0.4084  4 S 2.02-2.08
P 0.6519 0.3892 0.9084  4 S 2.02-2.08
P 0.3437 0.6116 0.0911  4 S 2.02-2.08
P 0.2479 0.1419 0.1585  4 S 2.03-2.08
P 0.8568 0.7523 0.3423  4 S 2.03-2.08
P 0.1419 0.2479 0.6585  4 S 2.03-2.08
P 0.9145 0.1677 0.3966  4 S 2.01-2.07
P 0.6116 0.3437 0.5911  4 S 2.02-2.08
P 0.0897 0.8323 0.6042  4 S 2.01-2.07

---

(12)
Entry from Alexandria via LeMat-Bulk: a relaxed Rb2TaBH crystal (GGA-PBE).

Computed properties:
**E**: -3.483 eV per atom
**Space-group type**: P4/mmm

Cell: 6.5075 6.5075 4.2292 Å, 90.00 90.00 90.00°
Closest atoms and distances in Å follow each position.
Sites, in units of the cell vectors:
Rb 0.5000 0.0000 0.0000  2 B 3.25
Rb 0.0000 0.5000 0.0000  2 B 3.25
B 0.0000 0.0000 0.0000  2 Ta 2.11
H 0.5000 0.5000 0.5000  8 Rb 3.88, 2 H 4.23
Ta 0.0000 0.0000 0.5000  2 B 2.11